A relaxed Ho2NpCo2 crystal, computed with PBE-GGA.

Properties
raw total energy: -7.38 eV per atom
total moment: 2.7 μB per formula unit
E_form: -0.119 eV/atom

a b c (Å): 5.8239 5.8239 7.0411
angles (deg): 80.97 80.97 60.60
Site moments in Bohr magnetons follow the coordinates.
Fractional positions:
Ho (0.5396, 0.7637, 0.8517)  0.16
Ho (0.2363, 0.4604, 0.6483)  0.16
Ho (0.4604, 0.2363, 0.1483)  0.16
Ho (0.7637, 0.5396, 0.3517)  0.16
Np (0.0865, 0.9135, 0.2500)  3.19
Np (0.9135, 0.0865, 0.7500)  3.19
Co (0.9988, 0.7132, 0.0109)  -0.50
Co (0.0012, 0.2868, 0.9891)  -0.50
Co (0.2868, 0.0012, 0.4891)  -0.50
Co (0.7132, 0.9988, 0.5109)  -0.50

=====

A relaxed Na2MnAuI6 crystal, computed with PBE-GGA.

Properties
energy relative to the elements, uncorrected: -0.59 eV per atom
raw total energy: -3.03 eV per atom
total moment: 4.0 μB per formula unit

a b c (Å): 7.7946 7.7886 8.3966
angles (deg): 62.31 62.30 60.00
Site moments in Bohr magnetons follow the coordinates.
Fractional positions:
I (0.9841, 0.5698, 0.2220)  -0.01
I (0.1235, 0.4346, 0.7451)  -0.03
I (0.2240, 0.9841, 0.2219)  -0.01
I (0.6965, 0.1234, 0.7455)  -0.03
I (0.4344, 0.6968, 0.7454)  -0.03
I (0.5700, 0.2240, 0.2221)  -0.01
Na (0.5402, 0.5401, 0.3794)  0.00
Na (0.0124, 0.0127, 0.9624)  0.00
Mn (0.3302, 0.3301, 0.0101)  3.89
Au (0.7462, 0.7460, 0.7613)  -0.05

=====

A relaxed PuPaInTc crystal, computed with PBE-GGA.

Properties
raw total energy: -8.97 eV per atom
total moment: 0.0 μB per formula unit
E_form: 0.268 eV/atom

a b c (Å): 3.0952 3.0952 8.8356
angles (deg): 90.00 90.00 90.00
Fractional positions:
Pa (0.5000, 0.5000, 0.3581)
In (0.0000, 0.0000, 0.0634)
Tc (0.0000, 0.0000, 0.5814)
Pu (0.5000, 0.5000, 0.7818)

=====

A relaxed VSI crystal, computed with PBE-GGA.

Properties
energy relative to the elements, uncorrected: -0.62 eV per atom
raw total energy: -5.55 eV per atom
total moment: 2.0 μB per formula unit

a b c (Å): 3.7556 3.7556 6.5684
angles (deg): 90.00 90.00 120.00
Site moments in Bohr magnetons follow the coordinates.
Fractional positions:
S (0.3333, 0.6667, 0.5235)  -0.16
I (0.0000, 0.0000, 0.0942)  -0.04
V (0.6667, 0.3333, 0.3823)  1.98

=====

A relaxed PuZr2Co crystal, computed with PBE-GGA.

Properties
raw total energy: -9.39 eV per atom
total moment: 5.3 μB per formula unit
E_form: 0.243 eV/atom

a b c (Å): 4.7696 4.7696 4.7700
angles (deg): 60.00 60.00 60.00
Site moments in Bohr magnetons follow the coordinates.
Fractional positions:
Zr (0.7500, 0.7500, 0.7500)  0.16
Zr (0.2500, 0.2500, 0.2500)  0.16
Pu (0.0000, 0.0000, 0.0000)  5.24
Co (0.5000, 0.5000, 0.5000)  -0.40

=====

A relaxed Mg2HIrRh crystal, computed with PBE-GGA.

Properties
raw total energy: -4.87 eV per atom
total moment: 0.0 μB per formula unit

a b c (Å): 4.2816 4.2816 3.5288
angles (deg): 90.00 90.00 90.00
Fractional positions:
H (0.0000, 0.0000, 0.0000)
Mg (0.5000, 0.0000, 0.0000)
Mg (0.0000, 0.5000, 0.0000)
Rh (0.5000, 0.5000, 0.5000)
Ir (0.0000, 0.0000, 0.5000)